# LiCd2Mo (PBE, relaxed)
# Uncorrected energy, eV/atom: -3.1809
# Calculated formation energy, eV/atom: 0.46
# DOS(E_F), states/eV/cell: 1.550
# E above lowest polymorph, meV per atom: 318
# Total moment, Bohr magnetons per cell: 2.6
# Crystal system: cubic
data_LiCd2Mo
_chemical_formula_sum 'Li1 Cd2 Mo1'
_cell_length_a 4.703
_cell_length_b 4.703
_cell_length_c 4.703
_cell_angle_alpha 60.00
_cell_angle_beta 60.00
_cell_angle_gamma 60.00
_symmetry_space_group_name_H-M 'P 1'
_symmetry_Int_Tables_number 1
loop_
_symmetry_equiv_pos_as_xyz
'x,y,z'
loop_
_atom_site_label
_atom_site_fract_x
_atom_site_fract_y
_atom_site_fract_z
_atom_site_occupancy
Li1 0.000 0.000 0.000 1
Cd1 0.250 0.250 0.250 1
Cd2 0.500 0.500 0.500 1
Mo1 0.750 0.750 0.750 1

---

# LiCdMo2 (PBE, relaxed)
# Uncorrected energy, eV/atom: -5.4966
# Calculated formation energy, eV/atom: 0.63
# DOS(E_F), states/eV/cell: 5.379
# Total moment, Bohr magnetons per cell: 0.0
# Crystal system: tetragonal
data_LiCdMo2
_chemical_formula_sum 'Li2 Cd2 Mo4'
_cell_length_a 10.718
_cell_length_b 10.718
_cell_length_c 10.718
_cell_angle_alpha 160.34
_cell_angle_beta 160.34
_cell_angle_gamma 27.94
_symmetry_space_group_name_H-M 'P 1'
_symmetry_Int_Tables_number 1
loop_
_symmetry_equiv_pos_as_xyz
'x,y,z'
loop_
_atom_site_label
_atom_site_fract_x
_atom_site_fract_y
_atom_site_fract_z
_atom_site_occupancy
Li1 0.000 0.000 0.000 1
Li2 0.750 0.250 0.500 1
Cd1 0.250 0.750 0.500 1
Cd2 0.500 0.500 0.000 1
Mo1 0.115 0.625 0.990 1
Mo2 0.375 0.365 0.490 1
Mo3 0.635 0.125 0.010 1
Mo4 0.875 0.885 0.510 1

---

# Li2CdMo (PBE, relaxed)
# Uncorrected energy, eV/atom: -3.4570
# Calculated formation energy, eV/atom: 0.44
# DOS(E_F), states/eV/cell: 2.759
# Total moment, Bohr magnetons per cell: 0.0
# Crystal system: tetragonal
data_Li2CdMo
_chemical_formula_sum 'Li2 Cd1 Mo1'
_cell_length_a 4.843
_cell_length_b 4.843
_cell_length_c 2.681
_cell_angle_alpha 90.00
_cell_angle_beta 90.00
_cell_angle_gamma 90.00
_symmetry_space_group_name_H-M 'P 1'
_symmetry_Int_Tables_number 1
loop_
_symmetry_equiv_pos_as_xyz
'x,y,z'
loop_
_atom_site_label
_atom_site_fract_x
_atom_site_fract_y
_atom_site_fract_z
_atom_site_occupancy
Li1 0.000 0.500 0.000 1
Li2 0.500 0.000 0.000 1
Cd1 0.000 0.000 0.500 1
Mo1 0.500 0.500 0.500 1

---

# LiCdMo2 (PBE, relaxed)
# Uncorrected energy, eV/atom: -5.5417
# Calculated formation energy, eV/atom: 0.58
# DOS(E_F), states/eV/cell: 5.846
# Total moment, Bohr magnetons per cell: 0.0
# Crystal system: trigonal
data_LiCdMo2
_chemical_formula_sum 'Li1 Cd1 Mo2'
_cell_length_a 10.133
_cell_length_b 10.133
_cell_length_c 10.133
_cell_angle_alpha 15.86
_cell_angle_beta 15.86
_cell_angle_gamma 15.86
_symmetry_space_group_name_H-M 'P 1'
_symmetry_Int_Tables_number 1
loop_
_symmetry_equiv_pos_as_xyz
'x,y,z'
loop_
_atom_site_label
_atom_site_fract_x
_atom_site_fract_y
_atom_site_fract_z
_atom_site_occupancy
Li1 0.000 0.000 0.000 1
Cd1 0.500 0.500 0.500 1
Mo1 0.251 0.251 0.251 1
Mo2 0.749 0.749 0.749 1

---

# Li2CdMo (PBE, relaxed)
# Uncorrected energy, eV/atom: -3.5075
# Calculated formation energy, eV/atom: 0.39
# DOS(E_F), states/eV/cell: 2.751
# Total moment, Bohr magnetons per cell: 0.0
# Crystal system: orthorhombic
data_Li2CdMo
_chemical_formula_sum 'Li2 Cd1 Mo1'
_cell_length_a 5.684
_cell_length_b 5.684
_cell_length_c 5.684
_cell_angle_alpha 152.91
_cell_angle_beta 129.13
_cell_angle_gamma 58.58
_symmetry_space_group_name_H-M 'P 1'
_symmetry_Int_Tables_number 1
loop_
_symmetry_equiv_pos_as_xyz
'x,y,z'
loop_
_atom_site_label
_atom_site_fract_x
_atom_site_fract_y
_atom_site_fract_z
_atom_site_occupancy
Li1 0.000 0.000 0.000 1
Li2 0.768 0.268 0.500 1
Cd1 0.235 0.735 0.500 1
Mo1 0.502 0.502 0.000 1

---

# LiCdMo2 (PBE, relaxed)
# Uncorrected energy, eV/atom: -5.7713
# Calculated formation energy, eV/atom: 0.35
# DOS(E_F), states/eV/cell: 2.893
# Total moment, Bohr magnetons per cell: 0.0
# Crystal system: monoclinic
data_LiCdMo2
_chemical_formula_sum 'Li1 Cd1 Mo2'
_cell_length_a 4.817
_cell_length_b 4.817
_cell_length_c 5.487
_cell_angle_alpha 92.42
_cell_angle_beta 92.42
_cell_angle_gamma 31.63
_symmetry_space_group_name_H-M 'P 1'
_symmetry_Int_Tables_number 1
loop_
_symmetry_equiv_pos_as_xyz
'x,y,z'
loop_
_atom_site_label
_atom_site_fract_x
_atom_site_fract_y
_atom_site_fract_z
_atom_site_occupancy
Li1 0.000 0.000 0.000 1
Cd1 0.749 0.749 0.216 1
Mo1 0.247 0.247 0.721 1
Mo2 0.489 0.489 0.527 1

---

# LiCdMo2 (PBE, relaxed)
# Uncorrected energy, eV/atom: -5.8212
# Calculated formation energy, eV/atom: 0.30
# DOS(E_F), states/eV/cell: 1.321
# Total moment, Bohr magnetons per cell: 0.0
# Crystal system: monoclinic
data_LiCdMo2
_chemical_formula_sum 'Li1 Cd1 Mo2'
_cell_length_a 5.417
_cell_length_b 5.417
_cell_length_c 3.977
_cell_angle_alpha 111.48
_cell_angle_beta 111.48
_cell_angle_gamma 36.59
_symmetry_space_group_name_H-M 'P 1'
_symmetry_Int_Tables_number 1
loop_
_symmetry_equiv_pos_as_xyz
'x,y,z'
loop_
_atom_site_label
_atom_site_fract_x
_atom_site_fract_y
_atom_site_fract_z
_atom_site_occupancy
Li1 0.000 0.000 0.000 1
Cd1 0.500 0.500 0.500 1
Mo1 0.255 0.255 0.757 1
Mo2 0.745 0.745 0.243 1

---

# LiCd2Mo (PBE, relaxed)
# Uncorrected energy, eV/atom: -3.3646
# Calculated formation energy, eV/atom: 0.28
# DOS(E_F), states/eV/cell: 3.555
# E above lowest polymorph, meV per atom: 134
# Total moment, Bohr magnetons per cell: 0.4
# Crystal system: trigonal
data_LiCd2Mo
_chemical_formula_sum 'Li1 Cd2 Mo1'
_cell_length_a 10.339
_cell_length_b 10.339
_cell_length_c 10.339
_cell_angle_alpha 16.05
_cell_angle_beta 16.05
_cell_angle_gamma 16.05
_symmetry_space_group_name_H-M 'P 1'
_symmetry_Int_Tables_number 1
loop_
_symmetry_equiv_pos_as_xyz
'x,y,z'
loop_
_atom_site_label
_atom_site_fract_x
_atom_site_fract_y
_atom_site_fract_z
_atom_site_occupancy
Li1 0.000 0.000 0.000 1
Cd1 0.252 0.252 0.252 1
Cd2 0.492 0.492 0.492 1
Mo1 0.744 0.744 0.744 1

---

# LiCdMo2 (PBE, relaxed)
# Uncorrected energy, eV/atom: -5.6325
# Calculated formation energy, eV/atom: 0.49
# DOS(E_F), states/eV/cell: 2.532
# Total moment, Bohr magnetons per cell: 0.0
# Crystal system: orthorhombic
data_LiCdMo2
_chemical_formula_sum 'Li1 Cd1 Mo2'
_cell_length_a 2.664
_cell_length_b 2.664
_cell_length_c 9.580
_cell_angle_alpha 90.00
_cell_angle_beta 90.00
_cell_angle_gamma 101.40
_symmetry_space_group_name_H-M 'P 1'
_symmetry_Int_Tables_number 1
loop_
_symmetry_equiv_pos_as_xyz
'x,y,z'
loop_
_atom_site_label
_atom_site_fract_x
_atom_site_fract_y
_atom_site_fract_z
_atom_site_occupancy
Li1 0.000 0.000 0.000 1
Cd1 0.000 0.000 0.500 1
Mo1 0.500 0.500 0.244 1
Mo2 0.500 0.500 0.756 1

---

# LiCd2Mo (PBE, relaxed)
# Uncorrected energy, eV/atom: -3.2662
# Calculated formation energy, eV/atom: 0.38
# DOS(E_F), states/eV/cell: 3.059
# E above lowest polymorph, meV per atom: 232
# Total moment, Bohr magnetons per cell: 0.9
# Crystal system: monoclinic
data_LiCd2Mo
_chemical_formula_sum 'Li1 Cd2 Mo1'
_cell_length_a 4.972
_cell_length_b 4.972
_cell_length_c 5.688
_cell_angle_alpha 95.51
_cell_angle_beta 95.51
_cell_angle_gamma 31.98
_symmetry_space_group_name_H-M 'P 1'
_symmetry_Int_Tables_number 1
loop_
_symmetry_equiv_pos_as_xyz
'x,y,z'
loop_
_atom_site_label
_atom_site_fract_x
_atom_site_fract_y
_atom_site_fract_z
_atom_site_occupancy
Li1 0.000 0.000 0.000 1
Cd1 0.248 0.248 0.752 1
Cd2 0.752 0.752 0.248 1
Mo1 0.500 0.500 0.500 1

---

# LiCdMo2 (PBE, relaxed)
# Uncorrected energy, eV/atom: -5.6425
# Calculated formation energy, eV/atom: 0.48
# DOS(E_F), states/eV/cell: 2.759
# Total moment, Bohr magnetons per cell: 0.0
# Crystal system: tetragonal
data_LiCdMo2
_chemical_formula_sum 'Li1 Cd1 Mo2'
_cell_length_a 4.682
_cell_length_b 4.682
_cell_length_c 4.682
_cell_angle_alpha 125.82
_cell_angle_beta 125.82
_cell_angle_gamma 80.19
_symmetry_space_group_name_H-M 'P 1'
_symmetry_Int_Tables_number 1
loop_
_symmetry_equiv_pos_as_xyz
'x,y,z'
loop_
_atom_site_label
_atom_site_fract_x
_atom_site_fract_y
_atom_site_fract_z
_atom_site_occupancy
Li1 0.000 0.000 0.000 1
Cd1 0.750 0.250 0.500 1
Mo1 0.250 0.750 0.500 1
Mo2 0.500 0.500 0.000 1

---

# Li2CdMo (PBE, relaxed)
# Uncorrected energy, eV/atom: -3.6542
# Calculated formation energy, eV/atom: 0.24
# DOS(E_F), states/eV/cell: 2.504
# Total moment, Bohr magnetons per cell: 0.0
# Crystal system: orthorhombic
data_Li2CdMo
_chemical_formula_sum 'Li2 Cd1 Mo1'
_cell_length_a 2.726
_cell_length_b 2.726
_cell_length_c 9.669
_cell_angle_alpha 90.00
_cell_angle_beta 90.00
_cell_angle_gamma 104.66
_symmetry_space_group_name_H-M 'P 1'
_symmetry_Int_Tables_number 1
loop_
_symmetry_equiv_pos_as_xyz
'x,y,z'
loop_
_atom_site_label
_atom_site_fract_x
_atom_site_fract_y
_atom_site_fract_z
_atom_site_occupancy
Li1 0.000 0.000 0.000 1
Li2 0.500 0.500 0.263 1
Cd1 0.500 0.500 0.755 1
Mo1 0.000 0.000 0.499 1

---

# Li2CdMo (PBE, relaxed)
# Uncorrected energy, eV/atom: -3.5691
# Calculated formation energy, eV/atom: 0.32
# DOS(E_F), states/eV/cell: 2.816
# Total moment, Bohr magnetons per cell: 0.6
# Crystal system: monoclinic
data_Li2CdMo
_chemical_formula_sum 'Li2 Cd1 Mo1'
_cell_length_a 2.619
_cell_length_b 4.570
_cell_length_c 5.757
_cell_angle_alpha 90.00
_cell_angle_beta 103.09
_cell_angle_gamma 90.00
_symmetry_space_group_name_H-M 'P 1'
_symmetry_Int_Tables_number 1
loop_
_symmetry_equiv_pos_as_xyz
'x,y,z'
loop_
_atom_site_label
_atom_site_fract_x
_atom_site_fract_y
_atom_site_fract_z
_atom_site_occupancy
Li1 0.000 0.000 0.000 1
Li2 0.095 0.500 0.236 1
Cd1 0.354 0.500 0.736 1
Mo1 0.727 0.000 0.487 1

---

# LiCd2Mo (PBE, relaxed)
# Uncorrected energy, eV/atom: -3.3715
# Calculated formation energy, eV/atom: 0.27
# DOS(E_F), states/eV/cell: 2.186
# E above lowest polymorph, meV per atom: 127
# Total moment, Bohr magnetons per cell: 0.6
# Crystal system: orthorhombic
data_LiCd2Mo
_chemical_formula_sum 'Li1 Cd2 Mo1'
_cell_length_a 2.786
_cell_length_b 4.286
_cell_length_c 6.098
_cell_angle_alpha 90.00
_cell_angle_beta 90.00
_cell_angle_gamma 90.00
_symmetry_space_group_name_H-M 'P 1'
_symmetry_Int_Tables_number 1
loop_
_symmetry_equiv_pos_as_xyz
'x,y,z'
loop_
_atom_site_label
_atom_site_fract_x
_atom_site_fract_y
_atom_site_fract_z
_atom_site_occupancy
Li1 0.000 0.000 0.000 1
Cd1 0.500 0.500 0.251 1
Cd2 0.500 0.500 0.749 1
Mo1 0.000 0.000 0.500 1

---

# Li2CdMo (PBE, relaxed)
# Uncorrected energy, eV/atom: -3.6427
# Calculated formation energy, eV/atom: 0.25
# DOS(E_F), states/eV/cell: 3.250
# Total moment, Bohr magnetons per cell: 0.0
# Crystal system: tetragonal
data_Li2CdMo
_chemical_formula_sum 'Li2 Cd1 Mo1'
_cell_length_a 2.803
_cell_length_b 2.803
_cell_length_c 8.466
_cell_angle_alpha 90.00
_cell_angle_beta 90.00
_cell_angle_gamma 90.00
_symmetry_space_group_name_H-M 'P 1'
_symmetry_Int_Tables_number 1
loop_
_symmetry_equiv_pos_as_xyz
'x,y,z'
loop_
_atom_site_label
_atom_site_fract_x
_atom_site_fract_y
_atom_site_fract_z
_atom_site_occupancy
Li1 0.000 0.000 0.000 1
Li2 0.500 0.500 0.247 1
Cd1 0.500 0.500 0.754 1
Mo1 0.000 0.000 0.485 1